1.
## AsRh3 (PBE-GGA)

Data for AsRh3 after structural relaxation.

As for the total energy: -6.690 eV per atom. Its energy of formation from the pure elements is -0.0136 eV/atom.

The structure belongs to space group Pmmm (No. 47); the cell edges are 2.830, 3.729 and 5.539 Å and the angles 90.00°, 90.00° and 90.00°. The inequivalent atoms are As at (0.000, 0.000, 0.000), Rh at (0.000, 0.000, 0.500) and Rh at (0.500, 0.500, 0.253).



2.
## BPI2O (PBE-GGA)

Data for BPI2O after structural relaxation.

Its raw formation energy is 0.347 eV per atom. As for the total energy: -3.682 eV per atom.

The structure belongs to space group P4/mmm (No. 123); the cell edges are 6.415, 6.415 and 2.772 Å and the angles 90.00°, 90.00° and 90.00°. The inequivalent atoms are B at (0.000, 0.000, 0.000), P at (0.500, 0.500, 0.500), I at (0.000, 0.500, 0.000) and O at (0.000, 0.000, 0.500).



3.
## Tl2Cu2SnTe4 (PBE-GGA)

Data for Tl2Cu2SnTe4 after structural relaxation.

Its raw formation energy is -0.181 eV per atom. As for the total energy: -3.458 eV per atom.

The structure belongs to space group Fmm2 (No. 42); the cell edges are 11.951, 12.392 and 7.210 Å and the angles 90.00°, 90.00° and 90.00°. The inequivalent atoms are Tl at (0.250, 0.250, 0.000), Cu at (0.111, 0.000, 0.409), Sn at (0.000, 0.000, 0.994), Te at (0.000, 0.170, 0.261) and Te at (0.185, 0.000, 0.750).



4.
## CaMn5 (PBE-GGA)

Data for CaMn5 after structural relaxation.

As for the total energy: -7.570 eV per atom. Its energy of formation from the pure elements is 0.4052 eV/atom.

The structure belongs to space group Cm (No. 8); the cell edges are 8.371, 2.798 and 8.378 Å and the angles 90.00°, 110.05° and 90.00°. The inequivalent atoms are Ca at (0.000, 0.000, 0.000), Mn at (0.149, 0.500, 0.727), Mn at (0.176, 0.500, 0.377), Mn at (0.338, 0.000, 0.625), Mn at (0.341, 0.000, 0.240) and Mn at (0.496, 0.500, 0.471).



5.
## AcDyTl (PBE-GGA)

Data for AcDyTl after structural relaxation.

As for the total energy: -3.945 eV per atom. Its energy of formation from the pure elements is -0.2528 eV/atom.

The structure belongs to space group P4/nmm (No. 129, origin choice 2); the cell edges are 4.956, 4.956 and 8.510 Å and the angles 90.00°, 90.00° and 90.00°. The inequivalent atoms are Ac at (0.250, 0.250, 0.148), Dy at (0.250, 0.750, 0.500) and Tl at (0.250, 0.250, 0.745).



6.
## AcMnCuPt3 (PBE-GGA)

Data for AcMnCuPt3 after structural relaxation.

As for the total energy: -6.279 eV per atom. Its energy of formation from the pure elements is -0.3632 eV/atom.

The structure belongs to space group Cmcm (No. 63); the cell edges are 6.610, 12.268 and 5.956 Å and the angles 90.00°, 90.00° and 90.00°. The inequivalent atoms are Ac at (0.000, 0.212, 0.250), Mn at (0.000, 0.131, 0.750), Cu at (0.000, 0.454, 0.250), Pt at (0.000, 0.333, 0.750) and Pt at (0.209, 0.000, 0.000).